Entry 1:
Entry from the Alexandria database: crystalline CaBe2Ru2 at its relaxed geometry (GGA-PBE).

Values from the calculation:
The energy above the most stable polymorph in this dataset comes out at 0.025 eV per atom.

a b c (Å): 4.162 4.162 5.275
angles (deg): 66.76 66.76 90.00
Element x y z (fractional)
Be  0.250  0.750  0.500
Be  0.750  0.250  0.500
Ru  0.361  0.361  0.278
Ru  0.639  0.639  0.722
Ca  0.000  0.000  0.000

---

Entry 2:
Entry from the Alexandria database: crystalline CaBeRu2 at its relaxed geometry (GGA-PBE).

Values from the calculation:
The calculated total energy is -5.6060 eV/atom.

a b c (Å): 2.922 4.777 5.651
angles (deg): 50.45 90.00 90.00
Element x y z (fractional)
Ru  0.500  0.500  0.000
Ru  0.000  0.000  0.000
Ca  0.000  0.000  0.500
Be  0.500  0.500  0.500

---

Entry 3:
Entry from the Alexandria database: crystalline CaBeRu2 at its relaxed geometry (GGA-PBE).

Values from the calculation:
The calculated total energy is -5.5420 eV/atom.

a b c (Å): 4.519 4.519 8.677
angles (deg): 74.91 74.91 90.00
Element x y z (fractional)
Ca  0.750  0.250  0.500
Ca  0.000  0.000  0.000
Ru  0.429  0.625  0.250
Ru  0.375  0.679  0.750
Ru  0.875  0.571  0.750
Ru  0.321  0.125  0.250
Be  0.500  0.500  0.000
Be  0.250  0.750  0.500

---

Repeat the third record exactly.
Entry from the Alexandria database: crystalline CaBeRu2 at its relaxed geometry (GGA-PBE).

Values from the calculation:
The calculated total energy is -5.5420 eV/atom.

a b c (Å): 4.519 4.519 8.677
angles (deg): 74.91 74.91 90.00
Element x y z (fractional)
Ca  0.750  0.250  0.500
Ca  0.000  0.000  0.000
Ru  0.429  0.625  0.250
Ru  0.375  0.679  0.750
Ru  0.875  0.571  0.750
Ru  0.321  0.125  0.250
Be  0.500  0.500  0.000
Be  0.250  0.750  0.500